(1)
Density functional theory data (PBE-GGA) for a relaxed SrZnW2 crystal.

Output
Its theoretical density is 10.9 g/cm³. For the calculated volume, the calculation gives 79.6 Å³ per cell.

Cell lengths 3.9821, 3.9821, 5.0166 Å; angles 90.00, 90.00, 90.00 degrees
Space group P4/mmm (No. 123)
Unique sites:
1 Sr 0.0000 0.0000 0.0000 x1
2 Zn 0.5000 0.5000 0.0000 x1
3 W 0.0000 0.5000 0.5000 x2


(2)
Density functional theory data (PBE-GGA) for a relaxed SrZnW3 crystal.

Output
Its theoretical density is 10.8 g/cm³. For the calculated volume, the calculation gives 108.2 Å³ per cell.

Cell lengths 4.7656, 4.7656, 4.7656 Å; angles 90.00, 90.00, 90.00 degrees
Space group Pm-3m (No. 221)
Unique sites:
1 Sr 0.0000 0.0000 0.0000 x1
2 Zn 0.5000 0.5000 0.5000 x1
3 W 0.0000 0.5000 0.5000 x3


(3)
Density functional theory data (PBE-GGA) for a relaxed SrZn3W crystal.

Output
Its theoretical density is 5.7 g/cm³. For the calculated volume, the calculation gives 136.7 Å³ per cell.

Cell lengths 5.1516, 5.1516, 5.1516 Å; angles 90.00, 90.00, 90.00 degrees
Space group Pm-3m (No. 221)
Unique sites:
1 Sr 0.0000 0.0000 0.0000 x1
2 Zn 0.0000 0.0000 0.5000 x3
3 W 0.5000 0.5000 0.5000 x1


(4)
Density functional theory data (PBE-GGA) for a relaxed SrZnW2 crystal.

Output
Its theoretical density is 11.2 g/cm³. For the calculated volume, the calculation gives 153.8 Å³ per cell.

Cell lengths 5.6860, 10.5043, 2.7872 Å; angles 90.00, 112.53, 90.00 degrees
Space group C2/m (No. 12)
Unique sites:
1 Sr 0.0000 0.0000 0.0000 x2
2 Zn 0.0000 0.5000 0.0000 x2
3 W 0.2500 0.2500 0.5000 x4


(5)
Density functional theory data (PBE-GGA) for a relaxed SrZnW2 crystal.

Output
Its theoretical density is 11.1 g/cm³. For the calculated volume, the calculation gives 155.6 Å³ per cell.

Cell lengths 5.6583, 10.0736, 2.7304 Å; angles 90.00, 90.00, 90.00 degrees
Space group Cmmm (No. 65)
Unique sites:
1 Sr 0.0000 0.0000 0.0000 x2
2 Zn 0.0000 0.5000 0.0000 x2
3 W 0.2500 0.2500 0.5000 x4


(6)
Density functional theory data (PBE-GGA) for a relaxed SrZnW2 crystal.

Output
Its theoretical density is 11.5 g/cm³. For the calculated volume, the calculation gives 225.8 Å³ per cell.

Cell lengths 2.8978, 2.8978, 31.0478 Å; angles 90.00, 90.00, 120.00 degrees
Space group R-3m (No. 166, hexagonal axes)
Unique sites:
1 Sr 0.0000 0.0000 0.0000 x3
2 Zn 0.0000 0.0000 0.5000 x3
3 W 0.0000 0.0000 0.2393 x6


(7)
Density functional theory data (PBE-GGA) for a relaxed Sr2ZnW crystal.

Output
Its theoretical density is 6.7 g/cm³. For the calculated volume, the calculation gives 420.8 Å³ per cell.

Cell lengths 7.4939, 7.4939, 7.4939 Å; angles 90.00, 90.00, 90.00 degrees
Space group F-43m (No. 216)
Unique sites:
1 Sr 0.0000 0.0000 0.0000 x4
2 Sr 0.2500 0.2500 0.2500 x4
3 Zn 0.2500 0.2500 0.7500 x4
4 W 0.0000 0.0000 0.5000 x4


(8)
Density functional theory data (PBE-GGA) for a relaxed SrZnW2 crystal.

Output
Its theoretical density is 11.5 g/cm³. For the calculated volume, the calculation gives 75.2 Å³ per cell.

Cell lengths 2.7909, 2.7909, 9.6518 Å; angles 90.00, 90.00, 90.00 degrees
Space group P4mm (No. 99)
Unique sites:
1 Sr 0.0000 0.0000 0.0000 x1
2 Zn 0.5000 0.5000 0.7288 x1
3 W 0.0000 0.0000 0.5233 x1
4 W 0.5000 0.5000 0.2893 x1


(9)
Density functional theory data (PBE-GGA) for a relaxed Sr2ZnW crystal.

Output
Its theoretical density is 6.5 g/cm³. For the calculated volume, the calculation gives 215.4 Å³ per cell.

Cell lengths 3.3575, 5.5433, 11.5723 Å; angles 90.00, 90.00, 90.00 degrees
Space group Imm2 (No. 44)
Unique sites:
1 Sr 0.0000 0.0000 0.0000 x2
2 Sr 0.0000 0.5000 0.2007 x2
3 Zn 0.0000 0.0000 0.4435 x2
4 W 0.0000 0.5000 0.7721 x2


(10)
Density functional theory data (PBE-GGA) for a relaxed Sr2ZnW crystal.

Output
Its theoretical density is 6.6 g/cm³. For the calculated volume, the calculation gives 215.1 Å³ per cell.

Cell lengths 4.7743, 4.7743, 9.4374 Å; angles 90.00, 90.00, 90.00 degrees
Space group I-4m2 (No. 119)
Unique sites:
1 Sr 0.0000 0.0000 0.0000 x2
2 Sr 0.0000 0.5000 0.2500 x2
3 Zn 0.0000 0.0000 0.5000 x2
4 W 0.0000 0.5000 0.7500 x2


(11)
Density functional theory data (PBE-GGA) for a relaxed SrZnW2 crystal.

Output
Its theoretical density is 10.3 g/cm³. For the calculated volume, the calculation gives 84.2 Å³ per cell.

Cell lengths 3.3433, 3.3033, 7.6232 Å; angles 90.00, 91.38, 90.00 degrees
Space group Pm (No. 6)
Unique sites:
1 Sr 0.0000 0.0000 0.0000 x1
2 Zn 0.5132 0.5000 0.3111 x1
3 W 0.0277 0.0000 0.5151 x1
4 W 0.4937 0.5000 0.6769 x1


(12)
Density functional theory data (PBE-GGA) for a relaxed Sr2ZnW crystal.

Output
Its theoretical density is 7.0 g/cm³. For the calculated volume, the calculation gives 101.0 Å³ per cell.

Cell lengths 3.1797, 3.1797, 9.9933 Å; angles 90.00, 90.00, 90.00 degrees
Space group P4/mmm (No. 123)
Unique sites:
1 Sr 0.0000 0.0000 0.2485 x2
2 Zn 0.5000 0.5000 0.5000 x1
3 W 0.5000 0.5000 0.0000 x1


(13)
Density functional theory data (PBE-GGA) for a relaxed SrZnW2 crystal.

Output
Its theoretical density is 10.8 g/cm³. For the calculated volume, the calculation gives 160.1 Å³ per cell.

Cell lengths 3.9882, 3.9882, 10.0629 Å; angles 90.00, 90.00, 90.00 degrees
Space group I4/mmm (No. 139)
Unique sites:
1 Sr 0.0000 0.0000 0.0000 x2
2 Zn 0.0000 0.0000 0.5000 x2
3 W 0.0000 0.5000 0.2500 x4


(14)
Density functional theory data (PBE-GGA) for a relaxed Sr2ZnW crystal.

Output
Its theoretical density is 6.1 g/cm³. For the calculated volume, the calculation gives 115.5 Å³ per cell.

Cell lengths 3.5788, 3.5788, 9.0177 Å; angles 90.00, 90.00, 90.00 degrees
Space group P4mm (No. 99)
Unique sites:
1 Sr 0.0000 0.0000 0.0000 x1
2 Sr 0.5000 0.5000 0.4037 x1
3 Zn 0.5000 0.5000 0.7442 x1
4 W 0.0000 0.0000 0.6562 x1


(15)
Density functional theory data (PBE-GGA) for a relaxed SrZnW2 crystal.

Output
Its theoretical density is 11.2 g/cm³. For the calculated volume, the calculation gives 153.8 Å³ per cell.

Cell lengths 11.4642, 2.7652, 5.1103 Å; angles 90.00, 108.32, 90.00 degrees
Space group C2/m (No. 12)
Unique sites:
1 Sr 0.0000 0.0000 0.0000 x2
2 Zn 0.0000 0.5000 0.5000 x2
3 W 0.2205 0.0000 0.7218 x4


(16)
Density functional theory data (PBE-GGA) for a relaxed SrZnW2 crystal.

Output
Its theoretical density is 11.0 g/cm³. For the calculated volume, the calculation gives 79.0 Å³ per cell.

Cell lengths 2.9172, 5.2646, 5.1555 Å; angles 90.00, 94.32, 90.00 degrees
Space group P2/m (No. 10)
Unique sites:
1 Sr 0.0000 0.0000 0.0000 x1
2 Zn 0.5000 0.0000 0.5000 x1
3 W 0.3727 0.5000 0.7443 x2


(17)
Density functional theory data (PBE-GGA) for a relaxed Sr2ZnW crystal.

Output
Its theoretical density is 6.6 g/cm³. For the calculated volume, the calculation gives 212.9 Å³ per cell.

Cell lengths 12.0651, 3.2307, 5.7928 Å; angles 90.00, 109.48, 90.00 degrees
Space group Cm (No. 8)
Unique sites:
1 Sr 0.0000 0.0000 0.0000 x2
2 Sr 0.1956 0.0000 0.6234 x2
3 Zn 0.4320 0.0000 0.4506 x2
4 W 0.2673 0.5000 0.1772 x2


(18)
Density functional theory data (PBE-GGA) for a relaxed SrZn3W crystal.

Output
Its theoretical density is 6.3 g/cm³. For the calculated volume, the calculation gives 122.9 Å³ per cell.

Cell lengths 4.9720, 4.9720, 4.9720 Å; angles 90.00, 90.00, 90.00 degrees
Space group Pm-3m (No. 221)
Unique sites:
1 Sr 0.0000 0.0000 0.0000 x1
2 Zn 0.0000 0.5000 0.5000 x3
3 W 0.5000 0.5000 0.5000 x1


(19)
Density functional theory data (PBE-GGA) for a relaxed Sr2ZnW crystal.

Output
Its theoretical density is 6.8 g/cm³. For the calculated volume, the calculation gives 411.7 Å³ per cell.

Cell lengths 4.3627, 4.3627, 21.6310 Å; angles 90.00, 90.00, 90.00 degrees
Space group I-42d (No. 122)
Unique sites:
1 Sr 0.2470 0.2500 0.1250 x8
2 Zn 0.0000 0.0000 0.0000 x4
3 W 0.0000 0.0000 0.5000 x4


(20)
Density functional theory data (PBE-GGA) for a relaxed Sr2ZnW crystal.

Output
Its theoretical density is 6.8 g/cm³. For the calculated volume, the calculation gives 207.9 Å³ per cell.

Cell lengths 6.0746, 3.1738, 10.8824 Å; angles 90.00, 97.66, 90.00 degrees
Space group C2/m (No. 12)
Unique sites:
1 Sr 0.2502 0.0000 0.2430 x4
2 Zn 0.0000 0.0000 0.5000 x2
3 W 0.0000 0.5000 0.0000 x2


no.,total magnetization (μB per formula unit),ΔE_f (meV per atom),energy above the lowest structure with this stoichiometry (meV per atom)
1,0.00,1108,618.0
2,0.00,1970,0.0
3,0.00,2257,1797.8
4,0.00,1016,526.4
5,0.00,1133,643.6
6,0.00,1033,542.9
7,2.30,1043,394.4
8,0.00,755,265.1
9,0.00,732,82.8
10,2.28,1024,374.7
11,0.00,490,0.0
12,0.01,831,182.1
13,0.00,1123,633.4
14,0.17,649,0.0
15,0.00,800,310.2
16,0.00,953,463.0
17,0.00,711,61.6
18,0.00,459,0.0
19,0.00,1361,712.0
20,0.00,981,332.4